Below is a geometry-optimized YSN2F structure, with properties calculated at the PBE level.

a = 4.093 Å, b = 4.093 Å, c = 3.913 Å
α = 90.00°, β = 90.00°, γ = 90.00°
Space group P4/mmm (No. 123)
Inequivalent atoms, fractional coordinates:
Y 0.000 0.000 0.000 [1 per cell]
S 0.500 0.500 0.000 [1 per cell]
N 0.000 0.500 0.500 [2 per cell]
F 0.500 0.500 0.500 [1 per cell]

Computed properties:
- density (g cm⁻³) = 4.3
- calculated volume (Å³ per cell) = 66
- excess energy over the best structure of this formula in the dataset (meV per atom) = 936.0
- DFT total energy (eV/atom) = -5.052
- formation energy (no corrections) (eV/atom) = 0.771
- total magnetic moment (μB/f.u.) = 0.0

---

Below is a geometry-optimized CaFeOs structure, with properties calculated at the PBE level.

a = 2.948 Å, b = 2.948 Å, c = 11.980 Å
α = 90.00°, β = 90.00°, γ = 90.00°
Space group I4mm (No. 107)
Inequivalent atoms, fractional coordinates:
Ca 0.000 0.000 0.000 [2 per cell]
Fe 0.000 0.000 0.698 [2 per cell]
Os 0.000 0.000 0.300 [2 per cell]

Computed properties:
- density (g cm⁻³) = 9.1
- calculated volume (Å³ per cell) = 104
- excess energy over the best structure of this formula in the dataset (meV per atom) = 276.4
- DFT total energy (eV/atom) = -6.818
- total magnetic moment (μB/f.u.) = 0.6
- formation enthalpy at 0 K (eV/atom) = 0.41

---

Below is a geometry-optimized BaFeAs2Pb structure, with properties calculated at the PBE level.

a = 4.876 Å, b = 4.876 Å, c = 5.199 Å
α = 90.00°, β = 90.00°, γ = 90.00°
Space group P4/mmm (No. 123)
Inequivalent atoms, fractional coordinates:
Ba 0.000 0.000 0.000 [1 per cell]
Fe 0.500 0.500 0.500 [1 per cell]
As 0.000 0.500 0.500 [2 per cell]
Pb 0.500 0.500 0.000 [1 per cell]

Computed properties:
- density (g cm⁻³) = 7.4
- calculated volume (Å³ per cell) = 124
- DFT total energy (eV/atom) = -4.806
- total magnetic moment (μB/f.u.) = 2.8
- formation enthalpy at 0 K (eV/atom) = -0.13

---

Below is a geometry-optimized LaRhBr2 structure, with properties calculated at the PBE level.

a = 4.289 Å, b = 4.289 Å, c = 10.033 Å
α = 90.00°, β = 90.00°, γ = 90.00°
Space group I-4m2 (No. 119)
Inequivalent atoms, fractional coordinates:
La 0.000 0.000 0.000 [2 per cell]
Rh 0.000 0.500 0.750 [2 per cell]
Br 0.000 0.000 0.500 [2 per cell]
Br 0.000 0.500 0.250 [2 per cell]

Computed properties:
- density (g cm⁻³) = 7.2
- calculated volume (Å³ per cell) = 185
- excess energy over the best structure of this formula in the dataset (meV per atom) = 424.4
- DFT total energy (eV/atom) = -4.616
- formation energy (no corrections) (eV/atom) = -0.710
- total magnetic moment (μB/f.u.) = 0.0

---

Below is a geometry-optimized Ac2PCl structure, with properties calculated at the PBE level.

a = 3.786 Å, b = 3.786 Å, c = 7.551 Å
α = 90.00°, β = 90.00°, γ = 90.00°
Space group P4/mmm (No. 123)
Inequivalent atoms, fractional coordinates:
Ac 0.000 0.000 0.231 [2 per cell]
P 0.500 0.500 0.000 [1 per cell]
Cl 0.500 0.500 0.500 [1 per cell]

Computed properties:
- density (g cm⁻³) = 8.0
- calculated volume (Å³ per cell) = 108
- excess energy over the best structure of this formula in the dataset (meV per atom) = 302.0
- DFT total energy (eV/atom) = -5.138
- formation energy (no corrections) (eV/atom) = -1.269
- total magnetic moment (μB/f.u.) = 0.0

---

Below is a geometry-optimized Hf2NbHg structure, with properties calculated at the PBE level.

a = 4.543 Å, b = 4.543 Å, c = 3.936 Å
α = 90.00°, β = 90.00°, γ = 90.00°
Space group P4/mmm (No. 123)
Inequivalent atoms, fractional coordinates:
Hf 0.000 0.500 0.000 [2 per cell]
Nb 0.000 0.000 0.500 [1 per cell]
Hg 0.500 0.500 0.500 [1 per cell]

Computed properties:
- density (g cm⁻³) = 13.3
- calculated volume (Å³ per cell) = 81
- DFT total energy (eV/atom) = -7.568
- total magnetic moment (μB/f.u.) = 0.0
- formation enthalpy at 0 K (eV/atom) = 0.00

---

Q: DFT total energy of number 4 (LaRhBr2)?
A: -4.616 eV/atom

---

Repeat the fifth record exactly.
Below is a geometry-optimized Ac2PCl structure, with properties calculated at the PBE level.

a = 3.786 Å, b = 3.786 Å, c = 7.551 Å
α = 90.00°, β = 90.00°, γ = 90.00°
Space group P4/mmm (No. 123)
Inequivalent atoms, fractional coordinates:
Ac 0.000 0.000 0.231 [2 per cell]
P 0.500 0.500 0.000 [1 per cell]
Cl 0.500 0.500 0.500 [1 per cell]

Computed properties:
- density (g cm⁻³) = 8.0
- calculated volume (Å³ per cell) = 108
- excess energy over the best structure of this formula in the dataset (meV per atom) = 302.0
- DFT total energy (eV/atom) = -5.138
- formation energy (no corrections) (eV/atom) = -1.269
- total magnetic moment (μB/f.u.) = 0.0

---

Q: Which of these has the highest DFT total energy?
A: LaRhBr2

---

What did the third record say?
Below is a geometry-optimized BaFeAs2Pb structure, with properties calculated at the PBE level.

a = 4.876 Å, b = 4.876 Å, c = 5.199 Å
α = 90.00°, β = 90.00°, γ = 90.00°
Space group P4/mmm (No. 123)
Inequivalent atoms, fractional coordinates:
Ba 0.000 0.000 0.000 [1 per cell]
Fe 0.500 0.500 0.500 [1 per cell]
As 0.000 0.500 0.500 [2 per cell]
Pb 0.500 0.500 0.000 [1 per cell]

Computed properties:
- density (g cm⁻³) = 7.4
- calculated volume (Å³ per cell) = 124
- DFT total energy (eV/atom) = -4.806
- total magnetic moment (μB/f.u.) = 2.8
- formation enthalpy at 0 K (eV/atom) = -0.13